VASP calculation (GGA-PBE) on crystalline YZrGa2 at its relaxed geometry.

Summary:
Energy relative to the elements = -0.45 eV per atom
Density of states at the Fermi level = 20.67 states/eV per cell
Volume = 21.0 Å³/atom
Total magnetization = 0.00 μB/atom
Polymorph energy (0 for the lowest one) = 72 meV per atom

a = 6.948 Å, b = 6.948 Å, c = 6.948 Å
α = 90.00°, β = 90.00°, γ = 90.00°
Positions (direct):
1 Y 0.000 0.000 0.000
2 Y 0.000 0.500 0.500
3 Y 0.500 0.000 0.500
4 Y 0.500 0.500 0.000
5 Zr 0.000 0.000 0.500
6 Zr 0.000 0.500 0.000
7 Zr 0.500 0.000 0.000
8 Zr 0.500 0.500 0.500
9 Ga 0.250 0.250 0.250
10 Ga 0.250 0.250 0.750
11 Ga 0.250 0.750 0.250
12 Ga 0.250 0.750 0.750
13 Ga 0.750 0.250 0.250
14 Ga 0.750 0.250 0.750
15 Ga 0.750 0.750 0.250
16 Ga 0.750 0.750 0.750

VASP calculation (GGA-PBE) on crystalline Y3ZrGa at its relaxed geometry.

Summary:
Energy relative to the elements = 0.35 eV per atom
Density of states at the Fermi level = 10.42 states/eV per cell
Volume = 32.2 Å³/atom
Total magnetization = 0.59 μB/atom
Polymorph energy (0 for the lowest one) = 0 meV per atom

a = 5.439 Å, b = 5.439 Å, c = 5.439 Å
α = 90.00°, β = 90.00°, γ = 90.00°
Positions (direct):
1 Y 0.000 0.000 0.500
2 Y 0.000 0.500 0.000
3 Y 0.500 0.000 0.000
4 Zr 0.500 0.500 0.500
5 Ga 0.000 0.000 0.000

VASP calculation (GGA-PBE) on crystalline YZr2Ga9 at its relaxed geometry.

Summary:
Energy relative to the elements = -0.49 eV per atom
Density of states at the Fermi level = 4.91 states/eV per cell
Volume = 18.3 Å³/atom
Total magnetization = 0.00 μB/atom

a = 4.198 Å, b = 4.198 Å, c = 12.434 Å
α = 90.00°, β = 90.00°, γ = 90.00°
Positions (direct):
1 Y 0.000 0.000 0.000
2 Zr 0.000 0.000 0.339
3 Zr 0.000 0.000 0.661
4 Ga 0.000 0.500 0.174
5 Ga 0.000 0.500 0.500
6 Ga 0.000 0.500 0.826
7 Ga 0.500 0.000 0.174
8 Ga 0.500 0.000 0.500
9 Ga 0.500 0.000 0.826
10 Ga 0.500 0.500 0.000
11 Ga 0.500 0.500 0.335
12 Ga 0.500 0.500 0.665

VASP calculation (GGA-PBE) on crystalline YZrGa2 at its relaxed geometry.

Summary:
Energy relative to the elements = -0.36 eV per atom
Density of states at the Fermi level = 8.82 states/eV per cell
Volume = 22.7 Å³/atom
Total magnetization = 0.00 μB/atom
Polymorph energy (0 for the lowest one) = 159 meV per atom

a = 3.558 Å, b = 3.558 Å, c = 24.816 Å
α = 90.00°, β = 90.00°, γ = 120.00°
Positions (direct):
1 Y 0.000 0.000 0.000
2 Y 0.333 0.667 0.667
3 Y 0.667 0.333 0.333
4 Zr 0.000 0.000 0.500
5 Zr 0.333 0.667 0.167
6 Zr 0.667 0.333 0.833
7 Ga 0.000 0.000 0.246
8 Ga 0.000 0.000 0.754
9 Ga 0.333 0.667 0.421
10 Ga 0.333 0.667 0.912
11 Ga 0.667 0.333 0.088
12 Ga 0.667 0.333 0.579

VASP calculation (GGA-PBE) on crystalline YZrGa at its relaxed geometry.

Summary:
Energy relative to the elements = -0.37 eV per atom
Density of states at the Fermi level = 10.85 states/eV per cell
Volume = 23.5 Å³/atom
Total magnetization = 0.00 μB/atom
Polymorph energy (0 for the lowest one) = 93 meV per atom

a = 11.166 Å, b = 3.650 Å, c = 8.400 Å
α = 90.00°, β = 124.52°, γ = 90.00°
Positions (direct):
1 Y 0.082 0.000 0.333
2 Y 0.418 0.500 0.667
3 Y 0.582 0.500 0.333
4 Y 0.918 0.000 0.667
5 Zr 0.161 0.500 0.053
6 Zr 0.339 0.000 0.947
7 Zr 0.661 0.000 0.053
8 Zr 0.839 0.500 0.947
9 Ga 0.134 0.500 0.661
10 Ga 0.366 0.000 0.339
11 Ga 0.634 0.000 0.661
12 Ga 0.866 0.500 0.339

VASP calculation (GGA-PBE) on crystalline YZrGa at its relaxed geometry.

Summary:
Energy relative to the elements = -0.38 eV per atom
Density of states at the Fermi level = 13.94 states/eV per cell
Volume = 22.9 Å³/atom
Total magnetization = 0.00 μB/atom
Polymorph energy (0 for the lowest one) = 82 meV per atom

a = 4.767 Å, b = 15.771 Å, c = 3.658 Å
α = 90.00°, β = 90.00°, γ = 90.00°
Positions (direct):
1 Y 0.000 0.178 0.000
2 Y 0.000 0.822 0.000
3 Y 0.500 0.322 0.000
4 Y 0.500 0.678 0.000
5 Zr 0.000 0.000 0.500
6 Zr 0.000 0.500 0.000
7 Zr 0.500 0.000 0.000
8 Zr 0.500 0.500 0.500
9 Ga 0.000 0.359 0.500
10 Ga 0.000 0.641 0.500
11 Ga 0.500 0.141 0.500
12 Ga 0.500 0.859 0.500

VASP calculation (GGA-PBE) on crystalline YZr3Ga at its relaxed geometry.

Summary:
Energy relative to the elements = 1.40 eV per atom
Density of states at the Fermi level = 11.60 states/eV per cell
Volume = 27.9 Å³/atom
Total magnetization = 0.00 μB/atom
Polymorph energy (0 for the lowest one) = 1060 meV per atom

a = 5.188 Å, b = 5.188 Å, c = 5.188 Å
α = 90.00°, β = 90.00°, γ = 90.00°
Positions (direct):
1 Y 0.000 0.000 0.000
2 Zr 0.000 0.000 0.500
3 Zr 0.000 0.500 0.000
4 Zr 0.500 0.000 0.000
5 Ga 0.500 0.500 0.500

VASP calculation (GGA-PBE) on crystalline YZrGa2 at its relaxed geometry.

Summary:
Energy relative to the elements = -0.52 eV per atom
Density of states at the Fermi level = 9.33 states/eV per cell
Volume = 21.5 Å³/atom
Total magnetization = 0.00 μB/atom
Polymorph energy (0 for the lowest one) = 0 meV per atom

a = 7.650 Å, b = 4.247 Å, c = 10.568 Å
α = 90.00°, β = 90.00°, γ = 90.00°
Positions (direct):
1 Y 0.210 0.250 0.177
2 Y 0.290 0.750 0.677
3 Y 0.710 0.250 0.323
4 Y 0.790 0.750 0.823
5 Zr 0.052 0.750 0.403
6 Zr 0.448 0.250 0.903
7 Zr 0.552 0.750 0.097
8 Zr 0.948 0.250 0.597
9 Ga 0.080 0.250 0.854
10 Ga 0.211 0.750 0.973
11 Ga 0.289 0.250 0.473
12 Ga 0.420 0.750 0.354
13 Ga 0.580 0.250 0.646
14 Ga 0.711 0.750 0.527
15 Ga 0.789 0.250 0.027
16 Ga 0.920 0.750 0.146

VASP calculation (GGA-PBE) on crystalline YZrGa at its relaxed geometry.

Summary:
Energy relative to the elements = -0.18 eV per atom
Density of states at the Fermi level = 3.12 states/eV per cell
Volume = 24.1 Å³/atom
Total magnetization = 0.00 μB/atom
Polymorph energy (0 for the lowest one) = 282 meV per atom

a = 4.814 Å, b = 4.814 Å, c = 3.601 Å
α = 90.00°, β = 90.00°, γ = 120.00°
Positions (direct):
1 Y 0.000 0.000 0.000
2 Zr 0.333 0.667 0.495
3 Ga 0.667 0.333 0.523

VASP calculation (GGA-PBE) on crystalline YZrGa at its relaxed geometry.

Summary:
Energy relative to the elements = -0.46 eV per atom
Density of states at the Fermi level = 4.99 states/eV per cell
Volume = 23.9 Å³/atom
Total magnetization = 0.00 μB/atom
Polymorph energy (0 for the lowest one) = 6 meV per atom

a = 4.248 Å, b = 4.248 Å, c = 7.948 Å
α = 90.00°, β = 90.00°, γ = 90.00°
Positions (direct):
1 Y 0.250 0.250 0.151
2 Y 0.750 0.750 0.849
3 Zr 0.250 0.750 0.500
4 Zr 0.750 0.250 0.500
5 Ga 0.250 0.250 0.760
6 Ga 0.750 0.750 0.240

VASP calculation (GGA-PBE) on crystalline YZrGa3 at its relaxed geometry.

Summary:
Energy relative to the elements = -0.63 eV per atom
Density of states at the Fermi level = 5.11 states/eV per cell
Volume = 20.4 Å³/atom
Total magnetization = 0.00 μB/atom
Polymorph energy (0 for the lowest one) = 0 meV per atom

a = 12.708 Å, b = 12.708 Å, c = 4.053 Å
α = 90.00°, β = 90.00°, γ = 161.82°
Positions (direct):
1 Y 0.075 0.925 0.750
2 Y 0.925 0.075 0.250
3 Zr 0.206 0.794 0.250
4 Zr 0.794 0.206 0.750
5 Ga 0.317 0.683 0.250
6 Ga 0.377 0.623 0.750
7 Ga 0.474 0.526 0.750
8 Ga 0.526 0.474 0.250
9 Ga 0.623 0.377 0.250
10 Ga 0.683 0.317 0.750

VASP calculation (GGA-PBE) on crystalline Y3ZrGa at its relaxed geometry.

Summary:
Energy relative to the elements = 0.70 eV per atom
Density of states at the Fermi level = 5.33 states/eV per cell
Volume = 33.2 Å³/atom
Total magnetization = 0.00 μB/atom
Polymorph energy (0 for the lowest one) = 345 meV per atom

a = 5.494 Å, b = 5.494 Å, c = 5.494 Å
α = 90.00°, β = 90.00°, γ = 90.00°
Positions (direct):
1 Y 0.000 0.000 0.500
2 Y 0.000 0.500 0.000
3 Y 0.500 0.000 0.000
4 Zr 0.000 0.000 0.000
5 Ga 0.500 0.500 0.500

VASP calculation (GGA-PBE) on crystalline YZr3Ga at its relaxed geometry.

Summary:
Energy relative to the elements = 0.34 eV per atom
Density of states at the Fermi level = 9.78 states/eV per cell
Volume = 27.2 Å³/atom
Total magnetization = 0.39 μB/atom
Polymorph energy (0 for the lowest one) = 0 meV per atom

a = 5.140 Å, b = 5.140 Å, c = 5.140 Å
α = 90.00°, β = 90.00°, γ = 90.00°
Positions (direct):
1 Y 0.000 0.000 0.000
2 Zr 0.000 0.500 0.500
3 Zr 0.500 0.000 0.500
4 Zr 0.500 0.500 0.000
5 Ga 0.500 0.500 0.500

VASP calculation (GGA-PBE) on crystalline YZrGa2 at its relaxed geometry.

Summary:
Energy relative to the elements = -0.47 eV per atom
Density of states at the Fermi level = 3.32 states/eV per cell
Volume = 20.8 Å³/atom
Total magnetization = 0.00 μB/atom
Polymorph energy (0 for the lowest one) = 53 meV per atom

a = 4.592 Å, b = 4.592 Å, c = 3.949 Å
α = 90.00°, β = 90.00°, γ = 90.00°
Positions (direct):
1 Y 0.000 0.000 0.000
2 Zr 0.500 0.500 0.000
3 Ga 0.000 0.500 0.500
4 Ga 0.500 0.000 0.500

VASP calculation (GGA-PBE) on crystalline YZrGa3 at its relaxed geometry.

Summary:
Energy relative to the elements = 0.09 eV per atom
Density of states at the Fermi level = 1.22 states/eV per cell
Volume = 26.0 Å³/atom
Total magnetization = 0.00 μB/atom
Polymorph energy (0 for the lowest one) = 713 meV per atom

a = 5.065 Å, b = 5.065 Å, c = 5.065 Å
α = 90.00°, β = 90.00°, γ = 90.00°
Positions (direct):
1 Y 0.000 0.000 0.000
2 Zr 0.500 0.500 0.500
3 Ga 0.000 0.500 0.500
4 Ga 0.500 0.000 0.500
5 Ga 0.500 0.500 0.000

VASP calculation (GGA-PBE) on crystalline YZrGa at its relaxed geometry.

Summary:
Energy relative to the elements = -0.31 eV per atom
Density of states at the Fermi level = 5.75 states/eV per cell
Volume = 23.3 Å³/atom
Total magnetization = 0.00 μB/atom
Polymorph energy (0 for the lowest one) = 157 meV per atom

a = 3.341 Å, b = 3.341 Å, c = 12.511 Å
α = 90.00°, β = 90.00°, γ = 90.00°
Positions (direct):
1 Y 0.000 0.000 0.000
2 Y 0.500 0.500 0.500
3 Zr 0.000 0.000 0.307
4 Zr 0.500 0.500 0.807
5 Ga 0.000 0.000 0.664
6 Ga 0.500 0.500 0.164

VASP calculation (GGA-PBE) on crystalline YZrGa at its relaxed geometry.

Summary:
Energy relative to the elements = -0.40 eV per atom
Density of states at the Fermi level = 12.77 states/eV per cell
Volume = 23.1 Å³/atom
Total magnetization = 0.00 μB/atom
Polymorph energy (0 for the lowest one) = 67 meV per atom

a = 4.053 Å, b = 14.886 Å, c = 4.585 Å
α = 90.00°, β = 90.00°, γ = 90.00°
Positions (direct):
1 Y 0.000 0.077 0.250
2 Y 0.000 0.923 0.750
3 Y 0.500 0.423 0.750
4 Y 0.500 0.577 0.250
5 Zr 0.000 0.243 0.750
6 Zr 0.000 0.757 0.250
7 Zr 0.500 0.257 0.250
8 Zr 0.500 0.743 0.750
9 Ga 0.000 0.394 0.250
10 Ga 0.000 0.606 0.750
11 Ga 0.500 0.106 0.750
12 Ga 0.500 0.894 0.250

VASP calculation (GGA-PBE) on crystalline YZrGa2 at its relaxed geometry.

Summary:
Energy relative to the elements = -0.50 eV per atom
Density of states at the Fermi level = 3.56 states/eV per cell
Volume = 21.0 Å³/atom
Total magnetization = 0.00 μB/atom
Polymorph energy (0 for the lowest one) = 24 meV per atom

a = 3.597 Å, b = 3.597 Å, c = 6.483 Å
α = 90.00°, β = 90.00°, γ = 90.00°
Positions (direct):
1 Y 0.000 0.000 0.000
2 Zr 0.000 0.000 0.500
3 Ga 0.500 0.500 0.277
4 Ga 0.500 0.500 0.723

VASP calculation (GGA-PBE) on crystalline YZr2Ga6 at its relaxed geometry.

Summary:
Energy relative to the elements = -0.53 eV per atom
Density of states at the Fermi level = 3.43 states/eV per cell
Volume = 18.9 Å³/atom
Total magnetization = 0.00 μB/atom
Polymorph energy (0 for the lowest one) = 0 meV per atom

a = 7.212 Å, b = 7.212 Å, c = 3.777 Å
α = 90.00°, β = 90.00°, γ = 120.00°
Positions (direct):
1 Y 0.000 0.000 0.000
2 Zr 0.333 0.667 0.000
3 Zr 0.667 0.333 0.000
4 Ga 0.000 0.336 0.500
5 Ga 0.000 0.664 0.500
6 Ga 0.336 0.000 0.500
7 Ga 0.336 0.336 0.500
8 Ga 0.664 0.000 0.500
9 Ga 0.664 0.664 0.500

VASP calculation (GGA-PBE) on crystalline YbGa5 at its relaxed geometry.

Summary:
Energy relative to the elements = -0.32 eV per atom
Density of states at the Fermi level = 29.83 states/eV per cell
Volume = 20.2 Å³/atom
Total magnetization = 0.03 μB/atom

a = 13.516 Å, b = 13.516 Å, c = 13.516 Å
α = 161.76°, β = 161.76°, γ = 25.91°
Positions (direct):
1 Yb 0.147 0.147 0.000
2 Yb 0.853 0.853 0.000
3 Ga 0.047 0.547 0.500
4 Ga 0.250 0.750 0.500
5 Ga 0.306 0.306 0.000
6 Ga 0.399 0.399 0.000
7 Ga 0.453 0.953 0.500
8 Ga 0.547 0.047 0.500
9 Ga 0.601 0.601 0.000
10 Ga 0.694 0.694 0.000
11 Ga 0.750 0.250 0.500
12 Ga 0.953 0.453 0.500

VASP calculation (GGA-PBE) on crystalline YbZnGa3 at its relaxed geometry.

Summary:
Energy relative to the elements = -0.39 eV per atom
Density of states at the Fermi level = 30.70 states/eV per cell
Volume = 19.4 Å³/atom
Total magnetization = 0.04 μB/atom

a = 4.205 Å, b = 4.205 Å, c = 10.966 Å
α = 90.00°, β = 90.00°, γ = 90.00°
Positions (direct):
1 Yb 0.000 0.000 0.000
2 Yb 0.500 0.500 0.500
3 Zn 0.000 0.000 0.614
4 Zn 0.500 0.500 0.114
5 Ga 0.000 0.000 0.393
6 Ga 0.000 0.500 0.249
7 Ga 0.000 0.500 0.749
8 Ga 0.500 0.000 0.249
9 Ga 0.500 0.000 0.749
10 Ga 0.500 0.500 0.893

VASP calculation (GGA-PBE) on crystalline YbZn2Ga2 at its relaxed geometry.

Summary:
Energy relative to the elements = -0.39 eV per atom
Density of states at the Fermi level = 29.83 states/eV per cell
Volume = 18.9 Å³/atom
Total magnetization = 0.04 μB/atom

a = 4.164 Å, b = 4.164 Å, c = 10.908 Å
α = 90.00°, β = 90.00°, γ = 90.00°
Positions (direct):
1 Yb 0.000 0.000 0.000
2 Yb 0.500 0.500 0.500
3 Zn 0.000 0.500 0.250
4 Zn 0.000 0.500 0.750
5 Zn 0.500 0.000 0.250
6 Zn 0.500 0.000 0.750
7 Ga 0.000 0.000 0.387
8 Ga 0.000 0.000 0.613
9 Ga 0.500 0.500 0.113
10 Ga 0.500 0.500 0.887

VASP calculation (GGA-PBE) on crystalline Zn5Ga2 at its relaxed geometry.

Summary:
Energy relative to the elements = 0.10 eV per atom
Density of states at the Fermi level = 2.90 states/eV per cell
Volume = 16.7 Å³/atom
Total magnetization = 0.00 μB/atom
Polymorph energy (0 for the lowest one) = 63 meV per atom

a = 7.644 Å, b = 7.644 Å, c = 7.644 Å
α = 32.90°, β = 32.90°, γ = 32.90°
Positions (direct):
1 Zn 0.000 0.000 0.000
2 Zn 0.288 0.288 0.288
3 Zn 0.422 0.422 0.422
4 Zn 0.578 0.578 0.578
5 Zn 0.712 0.712 0.712
6 Ga 0.140 0.140 0.140
7 Ga 0.860 0.860 0.860

VASP calculation (GGA-PBE) on crystalline Zn3Ga5 at its relaxed geometry.

Summary:
Energy relative to the elements = 0.05 eV per atom
Density of states at the Fermi level = 3.31 states/eV per cell
Volume = 17.9 Å³/atom
Total magnetization = 0.00 μB/atom
Polymorph energy (0 for the lowest one) = 0 meV per atom

a = 5.428 Å, b = 5.428 Å, c = 5.428 Å
α = 73.53°, β = 73.53°, γ = 73.53°
Positions (direct):
1 Zn 0.000 0.500 0.500
2 Zn 0.500 0.000 0.500
3 Zn 0.500 0.500 0.000
4 Ga 0.000 0.000 0.000
5 Ga 0.000 0.000 0.500
6 Ga 0.000 0.500 0.000
7 Ga 0.500 0.000 0.000
8 Ga 0.500 0.500 0.500

VASP calculation (GGA-PBE) on crystalline Zn3Ga2 at its relaxed geometry.

Summary:
Energy relative to the elements = 0.10 eV per atom
Density of states at the Fermi level = 2.72 states/eV per cell
Volume = 17.7 Å³/atom
Total magnetization = 0.00 μB/atom

a = 5.686 Å, b = 5.686 Å, c = 5.686 Å
α = 80.73°, β = 80.73°, γ = 80.73°
Positions (direct):
1 Zn 0.057 0.750 0.443
2 Zn 0.250 0.557 0.943
3 Zn 0.443 0.057 0.750
4 Zn 0.557 0.943 0.250
5 Zn 0.750 0.443 0.057
6 Zn 0.943 0.250 0.557
7 Ga 0.119 0.119 0.119
8 Ga 0.381 0.381 0.381
9 Ga 0.619 0.619 0.619
10 Ga 0.881 0.881 0.881